CsVAgO4 PBE+U optimized geometry; spin magnetization = 1.1 Bohr magnetons per cell; total DFT energy (no corrections) = -5.705 eV/atom
1.0
-5.022 -2.897 2.597
-3.207 -4.372 -3.310
0.365 -6.126 1.642
O Ag V Cs
4 1 1 1
Cartesian
-5.624 -6.447 1.773
-2.844 -4.844 0.336
-2.643 -8.234 1.245
-4.619 -7.264 -1.496
-3.932 -6.697 0.465
-1.966 -3.349 0.232
-5.899 -10.046 0.697